No. 1
Here is crystalline NaNiGe2N at its relaxed geometry from Alexandria via LeMat-Bulk. Energies are from GGA-PBEsol.

```
data_NaNiGe2N
_symmetry_space_group_name_H-M 'P 1'
_symmetry_Int_Tables_number 1
_symmetry_space_group_name_Hall 'P 1'
_cell_length_a 4.157
_cell_length_b 4.157
_cell_length_c 4.203
_cell_angle_alpha 90.00
_cell_angle_beta 90.00
_cell_angle_gamma 90.00
loop_
_atom_site_label
_atom_site_fract_x
_atom_site_fract_y
_atom_site_fract_z
Na1 0.000 0.000 0.500
N1 0.000 0.000 0.000
Ge1 0.000 0.500 0.000
Ge2 0.500 0.000 0.000
Ni1 0.500 0.500 0.500
```

## Properties
Total DFT energy (no corrections)   -4.631 eV/atom
M_tot   0.000 μB per atom
Formation energy from raw total energies   0.561 eV/atom



No. 2
Here is crystalline NaGeSeN2 at its relaxed geometry from Alexandria via LeMat-Bulk. Energies are from GGA-PBEsol.

```
data_NaGeSeN2
_symmetry_space_group_name_H-M 'P 1'
_symmetry_Int_Tables_number 1
_symmetry_space_group_name_Hall 'P 1'
_cell_length_a 4.270
_cell_length_b 4.270
_cell_length_c 5.322
_cell_angle_alpha 90.00
_cell_angle_beta 90.00
_cell_angle_gamma 90.00
loop_
_atom_site_label
_atom_site_fract_x
_atom_site_fract_y
_atom_site_fract_z
Ge1 0.500 0.500 0.500
N1 0.000 0.500 0.000
Na1 0.000 0.000 0.000
N2 0.500 0.000 0.000
Se1 0.000 0.000 0.500
```

## Properties
Total DFT energy (no corrections)   -3.606 eV/atom
M_tot   1.000 μB per atom
Formation energy from raw total energies   1.842 eV/atom



No. 3
Here is crystalline NaSiGe2N at its relaxed geometry from Alexandria via LeMat-Bulk. Energies are from GGA-PBEsol.

```
data_NaSiGe2N
_symmetry_space_group_name_H-M 'P 1'
_symmetry_Int_Tables_number 1
_symmetry_space_group_name_Hall 'P 1'
_cell_length_a 3.942
_cell_length_b 4.931
_cell_length_c 4.931
_cell_angle_alpha 90.00
_cell_angle_beta 90.00
_cell_angle_gamma 90.00
loop_
_atom_site_label
_atom_site_fract_x
_atom_site_fract_y
_atom_site_fract_z
Ge1 0.000 0.500 0.000
Na1 0.000 0.000 0.000
N1 0.500 0.000 0.000
Si1 0.500 0.500 0.500
Ge2 0.000 0.000 0.500
```

## Properties
Total DFT energy (no corrections)   -3.448 eV/atom
M_tot   0.000 μB per atom
Formation energy from raw total energies   1.662 eV/atom



No. 4
Here is crystalline NaGeTe2N at its relaxed geometry from Alexandria via LeMat-Bulk. Energies are from GGA-PBEsol.

```
data_NaGeTe2N
_symmetry_space_group_name_H-M 'P 1'
_symmetry_Int_Tables_number 1
_symmetry_space_group_name_Hall 'P 1'
_cell_length_a 3.460
_cell_length_b 5.830
_cell_length_c 5.830
_cell_angle_alpha 90.00
_cell_angle_beta 90.00
_cell_angle_gamma 90.00
loop_
_atom_site_label
_atom_site_fract_x
_atom_site_fract_y
_atom_site_fract_z
Te1 0.000 0.000 0.500
N1 0.500 0.000 0.000
Ge1 0.000 0.000 0.000
Te2 0.000 0.500 0.000
Na1 0.500 0.500 0.500
```

## Properties
Total DFT energy (no corrections)   -4.156 eV/atom
M_tot   0.000 μB per atom
Relative energy among the computed polymorphs   0.0000 eV per atom
Formation energy from raw total energies   0.228 eV/atom